DFT (SCAN) results for MgCdP2O at its PBEsol-relaxed geometry.

a = 3.582 Å, b = 5.029 Å, c = 5.029 Å
α = 90.00°, β = 90.00°, γ = 90.00°
Sites, in units of the cell vectors:
O1 0.500 0.000 0.000
Mg1 0.000 0.000 0.000
P1 0.000 0.000 0.500
P2 0.000 0.500 0.000
Cd1 0.500 0.500 0.500

energy: -61.32 eV/f.u.
formation energy without anion corrections: 0.219 eV/atom
volume: 18.11 Å³/atom
space group: No. 123